1.
Here is Gd2MnCd after structural relaxation from Alexandria via LeMat-Bulk. Energies are from PBE.

Results
- Formation energy: -0.04 eV per atom
- Space-group type: No. 123
- Polymorph energy (0 for the lowest one): 0 meV per atom

Unit cell a=5.2597 b=5.2597 c=3.6189 alpha=90.00 beta=90.00 gamma=90.00
Last column: nearest neighbours and their distance in Å.
Fractional coordinates of all 4 atoms:
Gd 0.0000 0.5000 0.0000  4 Cd 3.19, 4 Mn 3.19
Gd 0.5000 0.0000 0.0000  4 Cd 3.19, 4 Mn 3.19
Mn 0.0000 0.0000 0.5000  8 Gd 3.19
Cd 0.5000 0.5000 0.5000  8 Gd 3.19

2.
Here is NdGdMnCd after structural relaxation from Alexandria via LeMat-Bulk. Energies are from PBE.

Results
- Formation energy: -0.01 eV per atom
- Space-group type: No. 216

Unit cell a=5.2739 b=5.2739 c=5.2739 alpha=60.00 beta=60.00 gamma=60.00
Last column: nearest neighbours and their distance in Å.
Fractional coordinates of all 4 atoms:
Nd 0.0000 0.0000 0.0000  4 Mn 3.23, 4 Cd 3.23
Gd 0.5000 0.5000 0.5000  4 Cd 3.23, 4 Mn 3.23
Mn 0.2500 0.2500 0.2500  4 Gd 3.23, 4 Nd 3.23
Cd 0.7500 0.7500 0.7500  4 Gd 3.23, 4 Nd 3.23